[1]
Material: NdY2Ge3PdPt2
Method: DFT, PBE-GGA
State: optimized geometry

Summary:
**Crystal system**: orthorhombic
**Size of the total moment**: 0.0 Bohr magnetons per cell

Unit cell a=3.9594 b=7.3099 c=7.3099 alpha=120.39 beta=90.00 gamma=90.00
Element x y z (fractional)
Nd (0.0000, 0.0000, 0.0000)
Y (0.0000, 0.1856, 0.5919)
Y (0.0000, 0.5919, 0.1856)
Ge (0.5000, 0.3397, 0.3397)
Ge (0.5000, 0.5880, 0.8439)
Ge (0.5000, 0.8439, 0.5880)
Pd (0.0000, 0.5858, 0.5858)
Pt (0.5000, 0.2632, 0.9220)
Pt (0.5000, 0.9220, 0.2632)

[2]
Material: Nd3Si2Ge2Pd4
Method: DFT, PBE-GGA
State: optimized geometry

Summary:
**Crystal system**: orthorhombic
**Size of the total moment**: 0.0 Bohr magnetons per cell

Unit cell a=12.8312 b=12.8312 c=12.8312 alpha=161.49 beta=160.52 gamma=27.00
Element x y z (fractional)
Nd (0.0000, 0.0000, 0.0000)
Nd (0.3517, 0.8517, 0.5000)
Nd (0.6483, 0.1483, 0.5000)
Si (0.1972, 0.6972, 0.5000)
Si (0.8028, 0.3028, 0.5000)
Ge (0.4499, 0.4499, 0.0000)
Ge (0.5501, 0.5501, 0.0000)
Pd (0.1003, 0.6003, 0.5000)
Pd (0.2495, 0.2495, 0.0000)
Pd (0.7505, 0.7505, 0.0000)
Pd (0.8997, 0.3997, 0.5000)

[3]
Material: Sr2NdGe4Pd4
Method: DFT, PBE-GGA
State: optimized geometry

Summary:
**Crystal system**: orthorhombic
**Size of the total moment**: 0.0 Bohr magnetons per cell

Unit cell a=13.0748 b=13.0748 c=13.0748 alpha=161.11 beta=160.63 gamma=27.18
Element x y z (fractional)
Sr (0.1459, 0.1459, 0.0000)
Sr (0.8541, 0.8541, 0.0000)
Nd (0.5000, 0.0000, 0.5000)
Ge (0.0482, 0.5482, 0.5000)
Ge (0.3026, 0.3026, 0.0000)
Ge (0.6974, 0.6974, 0.0000)
Ge (0.9518, 0.4518, 0.5000)
Pd (0.2498, 0.7498, 0.5000)
Pd (0.4038, 0.4038, 0.0000)
Pd (0.5962, 0.5962, 0.0000)
Pd (0.7502, 0.2502, 0.5000)

[4]
Material: SrNd2Ge4Pd4
Method: DFT, PBE-GGA
State: optimized geometry

Summary:
**Crystal system**: orthorhombic
**Size of the total moment**: 0.0 Bohr magnetons per cell

Unit cell a=13.0292 b=13.0292 c=13.0292 alpha=161.27 beta=160.61 gamma=27.09
Element x y z (fractional)
Sr (0.0000, 0.0000, 0.0000)
Nd (0.3520, 0.8520, 0.5000)
Nd (0.6480, 0.1480, 0.5000)
Ge (0.1958, 0.6958, 0.5000)
Ge (0.4493, 0.4493, 0.0000)
Ge (0.5507, 0.5507, 0.0000)
Ge (0.8042, 0.3042, 0.5000)
Pd (0.0980, 0.5980, 0.5000)
Pd (0.2499, 0.2499, 0.0000)
Pd (0.7501, 0.7501, 0.0000)
Pd (0.9020, 0.4020, 0.5000)

| no. | E_tot (eV per atom) |
| --- | --- |
| 1 | -6.4129 |
| 2 | -5.9400 |
| 3 | -5.0873 |
| 4 | -5.4011 |